Entry from Alexandria via LeMat-Bulk: a relaxed CrBS2N crystal (PBE).

abc: 4.6076 4.6076 3.4791
angles: 90.00 90.00 90.00
Closest atoms and distances in Å follow each position.
Fractional positions:
Cr  0.0000  0.0000  0.0000  2 N 1.74
B  0.5000  0.5000  0.5000  8 S 2.89
S  0.0000  0.5000  0.0000  2 Cr 2.30
S  0.5000  0.0000  0.0000  2 Cr 2.30
N  0.0000  0.0000  0.5000  2 Cr 1.74

## Properties
* E above lowest polymorph: 627 meV per atom
* magnetic moment: 0.00 μB per formula unit
* formation energy (no corrections): 5.07 eV per formula unit


Entry from Alexandria via LeMat-Bulk: a relaxed CrBSN2 crystal (PBE).

abc: 3.5434 3.5434 4.9935
angles: 90.00 90.00 90.00
Closest atoms and distances in Å follow each position.
Fractional positions:
Cr  0.0000  0.0000  0.0000  4 N 1.77
B  0.5000  0.5000  0.5000  4 S 2.51
S  0.0000  0.0000  0.5000  2 Cr 2.50, 4 B 2.51
N  0.0000  0.5000  0.0000  2 Cr 1.77
N  0.5000  0.0000  0.0000  2 Cr 1.77

## Properties
* E above lowest polymorph: 119 meV per atom
* magnetic moment: 0.00 μB per formula unit
* formation energy (no corrections): 5.74 eV per formula unit


Entry from Alexandria via LeMat-Bulk: a relaxed CrBSb2N crystal (PBE).

abc: 5.3683 5.3683 2.7937
angles: 90.00 90.00 90.00
Closest atoms and distances in Å follow each position.
Fractional positions:
Cr  0.0000  0.0000  0.0000  2 Cr 2.79, 8 Sb 3.03
B  0.5000  0.5000  0.5000  2 N 1.40
Sb  0.0000  0.5000  0.5000  2 B 2.68, 2 Sb 2.79
Sb  0.5000  0.0000  0.5000  2 B 2.68, 2 Sb 2.79
N  0.5000  0.5000  0.0000  2 B 1.40

## Properties
* magnetic moment: 0.11 μB per formula unit
* formation energy (no corrections): 3.34 eV per formula unit


Entry from Alexandria via LeMat-Bulk: a relaxed CrTcBN2 crystal (PBE).

abc: 3.3876 3.3876 4.3109
angles: 90.00 90.00 90.00
Closest atoms and distances in Å follow each position.
Fractional positions:
Cr  0.0000  0.0000  0.0000  4 Tc 2.40
Tc  0.5000  0.5000  0.0000  2 B 2.16, 4 Cr 2.40
B  0.5000  0.5000  0.5000  4 N 1.69
N  0.0000  0.5000  0.5000  2 B 1.69
N  0.5000  0.0000  0.5000  2 B 1.69

## Properties
* E above lowest polymorph: 395 meV per atom
* magnetic moment: 0.00 μB per formula unit
* formation energy (no corrections): 8.25 eV per formula unit